(1)
First-principles (PBE) data for a relaxed Li2CaTc crystal, as listed in the Alexandria database.

Structure (POSCAR):
```
Li2CaTc
1.0
2.8481 -4.7002 0.0000
2.8481 4.7002 0.0000
0.0000 0.0000 2.7428
Li Ca Tc
2 1 1
Direct
0.0000 0.5000 0.0000
0.5000 0.0000 0.0000
0.0000 0.0000 0.5000
0.5000 0.5000 0.5000
```

Values from the calculation:
- Energy of formation from the pure elements: 565 meV per atom
- E_tot: -3.484 eV/atom
- Distance to the lowest polymorph of the same formula: 136 meV per atom


(2)
First-principles (PBE) data for a relaxed LiCaVTc2 crystal, as listed in the Alexandria database.

Structure (POSCAR):
```
LiCaVTc2
1.0
4.4751 0.0000 0.0000
0.0000 4.4751 0.0000
0.0000 0.0000 4.9858
Li Ca V Tc
1 1 1 2
Direct
0.0000 0.0000 0.0000
0.5000 0.5000 0.0000
0.0000 0.0000 0.5000
0.0000 0.5000 0.5000
0.5000 0.0000 0.5000
```

Values from the calculation:
- Energy of formation from the pure elements: 687 meV per atom
- E_tot: -6.066 eV/atom


(3)
First-principles (PBE) data for a relaxed Li2CaTcW crystal, as listed in the Alexandria database.

Structure (POSCAR):
```
Li2CaTcW
1.0
4.5484 0.0000 0.0000
0.0000 4.5484 0.0000
0.0000 0.0000 4.8434
Li Ca Tc W
2 1 1 1
Direct
0.0000 0.5000 0.0000
0.5000 0.0000 0.0000
0.0000 0.0000 0.5000
0.0000 0.0000 0.0000
0.5000 0.5000 0.5000
```

Values from the calculation:
- Energy of formation from the pure elements: 1975 meV per atom
- E_tot: -3.854 eV/atom


(4)
First-principles (PBE) data for a relaxed LiCaZnTc2 crystal, as listed in the Alexandria database.

Structure (POSCAR):
```
LiCaZnTc2
1.0
4.3429 0.0000 0.0000
0.0000 4.3429 0.0000
0.0000 0.0000 4.5261
Li Ca Zn Tc
1 1 1 2
Direct
0.0000 0.0000 0.0000
0.5000 0.5000 0.5000
0.0000 0.0000 0.5000
0.0000 0.5000 0.0000
0.5000 0.0000 0.0000
```

Values from the calculation:
- Energy of formation from the pure elements: 940 meV per atom
- E_tot: -4.244 eV/atom


(5)
First-principles (PBE) data for a relaxed Li2Ca2Te crystal, as listed in the Alexandria database.

Structure (POSCAR):
```
Li2Ca2Te
1.0
-1.9648 1.9648 9.5794
1.9648 -1.9648 9.5794
1.9648 1.9648 -9.5794
Li Ca Te
2 2 1
Direct
0.2500 0.7500 0.5000
0.7500 0.2500 0.5000
0.0959 0.0959 0.0000
0.9041 0.9041 0.0000
0.5000 0.5000 0.0000
```

Values from the calculation:
- E_tot: -2.680 eV/atom
- Distance to the lowest polymorph of the same formula: 0 meV per atom


(6)
First-principles (PBE) data for a relaxed LiCaTe3 crystal, as listed in the Alexandria database.

Structure (POSCAR):
```
LiCaTe3
1.0
5.2263 0.0000 0.0000
0.0000 5.2263 0.0000
0.0000 0.0000 5.2263
Li Ca Te
1 1 3
Direct
0.0000 0.0000 0.0000
0.5000 0.5000 0.5000
0.0000 0.0000 0.5000
0.0000 0.5000 0.0000
0.5000 0.0000 0.0000
```

Values from the calculation:
- E_tot: -3.120 eV/atom
- Distance to the lowest polymorph of the same formula: 0 meV per atom


(7)
First-principles (PBE) data for a relaxed Li2Ca2Te crystal, as listed in the Alexandria database.

Structure (POSCAR):
```
Li2Ca2Te
1.0
7.5473 0.0000 0.0000
0.0000 7.5473 0.0000
0.0000 0.0000 4.7719
Li Ca Te
4 4 2
Direct
0.1336 0.3664 0.0000
0.3664 0.8664 0.0000
0.6336 0.1336 0.0000
0.8664 0.6336 0.0000
0.1699 0.6699 0.5000
0.3301 0.1699 0.5000
0.6699 0.8301 0.5000
0.8301 0.3301 0.5000
0.0000 0.0000 0.0000
0.5000 0.5000 0.0000
```

Values from the calculation:
- E_tot: -2.632 eV/atom
- Distance to the lowest polymorph of the same formula: 48 meV per atom


(8)
First-principles (PBE) data for a relaxed LiCaTe4 crystal, as listed in the Alexandria database.

Structure (POSCAR):
```
LiCaTe4
1.0
0.0000 4.5991 4.5991
4.5991 0.0000 4.5991
4.5991 4.5991 0.0000
Li Ca Te
1 1 4
Direct
0.0000 0.0000 0.0000
0.2500 0.2500 0.2500
0.1246 0.6251 0.6251
0.6251 0.1246 0.6251
0.6251 0.6251 0.1246
0.6251 0.6251 0.6251
```

Values from the calculation:
- E_tot: -2.895 eV/atom


- Which formula does entry 3 have?
  Li2CaTcW


- Which value of E_tot does entry 2 give?
  -6.066 eV/atom